The following is a DFT calculation (PBE) of LaErZnNi after structural relaxation.

Values from the calculation:
* total energy: -70.64 eV/cell

a b c (Å): 7.114 7.114 7.114
angles (deg): 90.00 90.00 90.00
Space group F-43m (No. 216)
One atom of each set of equivalent atoms:
1 La 0.000 0.000 0.000 [4 per cell]
2 Er 0.000 0.000 0.500 [4 per cell]
3 Zn 0.250 0.250 0.250 [4 per cell]
4 Ni 0.250 0.250 0.750 [4 per cell]

The following is a DFT calculation (PBE) of LaErNp after structural relaxation.

Values from the calculation:
* total energy: -86.88 eV/cell

a b c (Å): 16.902 3.540 6.076
angles (deg): 90.00 102.68 90.00
Space group C2/m (No. 12)
One atom of each set of equivalent atoms:
1 La 0.128 0.000 0.324 [4 per cell]
2 Er 0.067 0.500 0.791 [4 per cell]
3 Np 0.237 0.000 0.866 [4 per cell]

| no. | ΔE_f (eV per atom) |
| --- | --- |
| 1 | -0.28 |
| 2 | 0.24 |